Entry 1:
Here is Sm6DyHo after structural relaxation from the Alexandria database. Energies are from PBE.

a b c (Å): 7.2271 10.1719 14.4079
angles (deg): 90.00 90.00 90.00
Space group Fmmm (No. 69)
Asymmetric unit:
1 Sm 0.0000 0.0000 0.2500 [8 per cell]
2 Sm 0.2500 0.2500 0.1241 [16 per cell]
3 Dy 0.0000 0.0000 0.0000 [4 per cell]
4 Ho 0.0000 0.0000 0.5000 [4 per cell]

Results
Spin magnetization in μB per formula unit: 0.00
Fermi-level density of states in states/eV/f.u.: 11.7
Final energy in eV per atom: -4.67
Formation energy from the elements in eV per formula unit: 0.13

=====

Entry 2:
Here is SmDy12Ho6 after structural relaxation from the Alexandria database. Energies are from PBE.

a b c (Å): 15.0586 15.0586 9.9137
angles (deg): 90.00 90.00 120.00
Space group R-3m (No. 166, hexagonal axes)
Asymmetric unit:
1 Sm 0.0000 0.0000 0.0000 [3 per cell]
2 Dy 0.0000 0.3899 0.5000 [18 per cell]
3 Dy 0.0717 0.1434 0.2960 [18 per cell]
4 Ho 0.0501 0.5251 0.2083 [18 per cell]

Results
Spin magnetization in μB per formula unit: 0.00
Fermi-level density of states in states/eV/f.u.: 24.4
Final energy in eV per atom: -4.16
Offset from the most stable computed form in meV/atom: 287
Formation energy from the elements in eV per formula unit: 8.42

=====

Entry 3:
Here is Sm12Dy7Ho after structural relaxation from the Alexandria database. Energies are from PBE.

a b c (Å): 12.8923 12.8923 13.9950
angles (deg): 90.00 90.00 120.00
Space group R-3 (No. 148, hexagonal axes)
Asymmetric unit:
1 Sm 0.9999 0.4337 0.2496 [18 per cell]
2 Sm 0.0670 0.1990 0.3449 [18 per cell]
3 Dy 0.0000 0.0000 0.5000 [3 per cell]
4 Dy 0.0673 0.8688 0.8500 [18 per cell]
5 Ho 0.0000 0.0000 0.0000 [3 per cell]

Results
Spin magnetization in μB per formula unit: 0.00
Fermi-level density of states in states/eV/f.u.: 21.9
Final energy in eV per atom: -4.39
Offset from the most stable computed form in meV/atom: 28
Formation energy from the elements in eV per formula unit: 5.57

=====

Entry 4:
Here is Tb5SmDyHo2 after structural relaxation from the Alexandria database. Energies are from PBE.

a b c (Å): 5.6069 19.8648 10.5574
angles (deg): 90.00 90.00 90.00
Space group Cmc2_1 (No. 36)
Asymmetric unit:
1 Tb 0.0000 0.0178 0.0000 [4 per cell]
2 Tb 0.0000 0.2813 0.2879 [4 per cell]
3 Tb 0.0000 0.2987 0.6844 [4 per cell]
4 Tb 0.0000 0.3885 0.9995 [4 per cell]
5 Tb 0.0000 0.4789 0.7147 [4 per cell]
6 Sm 0.0000 0.4147 0.4299 [4 per cell]
7 Dy 0.0000 0.1997 0.9880 [4 per cell]
8 Ho 0.0000 0.1109 0.7123 [4 per cell]
9 Ho 0.0000 0.1142 0.2951 [4 per cell]

Results
Spin magnetization in μB per formula unit: 0.00
Fermi-level density of states in states/eV/f.u.: 14.5
Final energy in eV per atom: -4.47
Formation energy from the elements in eV per formula unit: 1.40

=====

Entry 5:
Here is Tb3Sm6Dy2Ho after structural relaxation from the Alexandria database. Energies are from PBE.

a b c (Å): 6.2205 10.7700 11.8562
angles (deg): 90.00 100.04 90.00
Space group C2/m (No. 12)
Asymmetric unit:
1 Tb 0.0000 0.0000 0.0000 [2 per cell]
2 Tb 0.0000 0.3333 0.0000 [4 per cell]
3 Sm 0.2503 0.0000 0.7494 [4 per cell]
4 Sm 0.2499 0.1666 0.2507 [8 per cell]
5 Dy 0.0000 0.1666 0.5000 [4 per cell]
6 Ho 0.0000 0.5000 0.5000 [2 per cell]

Results
Spin magnetization in μB per formula unit: 0.00
Fermi-level density of states in states/eV/f.u.: 14.8
Final energy in eV per atom: -4.65
Formation energy from the elements in eV per formula unit: 0.16

=====

Entry 6:
Here is Tb6Sm2Dy3Ho after structural relaxation from the Alexandria database. Energies are from PBE.

a b c (Å): 6.1728 10.6821 11.8117
angles (deg): 90.00 99.97 90.00
Space group C2/m (No. 12)
Asymmetric unit:
1 Tb 0.2482 0.0000 0.2484 [4 per cell]
2 Tb 0.2492 0.3336 0.2486 [8 per cell]
3 Sm 0.0000 0.3334 0.5000 [4 per cell]
4 Dy 0.0000 0.1665 0.0000 [4 per cell]
5 Dy 0.0000 0.5000 0.0000 [2 per cell]
6 Ho 0.0000 0.0000 0.5000 [2 per cell]

Results
Spin magnetization in μB per formula unit: 0.00
Fermi-level density of states in states/eV/f.u.: 15.2
Final energy in eV per atom: -4.62
Formation energy from the elements in eV per formula unit: 0.17

=====

Entry 7:
Here is Tb2Sm2Dy2Ho after structural relaxation from the Alexandria database. Energies are from PBE.

a b c (Å): 5.6823 5.6823 24.4191
angles (deg): 90.00 90.00 120.00
Space group R-3m (No. 166, hexagonal axes)
Asymmetric unit:
1 Tb 0.0000 0.0000 0.2172 [6 per cell]
2 Sm 0.0000 0.0000 0.3610 [6 per cell]
3 Dy 0.0000 0.0000 0.0744 [6 per cell]
4 Ho 0.0000 0.0000 0.5000 [3 per cell]

Results
Spin magnetization in μB per formula unit: 0.02
Fermi-level density of states in states/eV/f.u.: 18.3
Final energy in eV per atom: -4.50
Formation energy from the elements in eV per formula unit: 1.01

=====

Entry 8:
Here is Tb2SmDyHo2 after structural relaxation from the Alexandria database. Energies are from PBE.

a b c (Å): 6.9452 16.1296 3.4965
angles (deg): 90.00 90.00 90.00
Space group Pnnm (No. 58)
Asymmetric unit:
1 Tb 0.2490 0.1574 0.0000 [4 per cell]
2 Sm 0.0000 0.5000 0.0000 [2 per cell]
3 Dy 0.0000 0.0000 0.5000 [2 per cell]
4 Ho 0.2496 0.3440 0.5000 [4 per cell]

Results
Spin magnetization in μB per formula unit: 0.01
Fermi-level density of states in states/eV/f.u.: 9.3
Final energy in eV per atom: -4.46
Formation energy from the elements in eV per formula unit: 0.96